MgNi2Pt | PBE | relaxed

a = 4.612 Å, b = 4.612 Å, c = 4.527 Å
α = 78.46°, β = 78.46°, γ = 34.84°
Sites, in units of the cell vectors:
Ni  0.993  0.993  0.011
Pt  0.505  0.505  0.490
Mg  0.748  0.748  0.757
Ni  0.254  0.254  0.242

Computed properties:
Energy relative to the elements in eV/atom: -0.24
DFT total energy in eV/atom: -5.042
Symmetry: Cm (8)

***

MgNiPt | PBE | relaxed

a = 5.823 Å, b = 5.823 Å, c = 2.823 Å
α = 75.97°, β = 75.97°, γ = 28.05°
Sites, in units of the cell vectors:
Pt  0.673  0.673  0.327
Mg  0.997  0.997  0.003
Ni  0.330  0.330  0.670

Computed properties:
Energy relative to the elements in eV/atom: -0.33
DFT total energy in eV/atom: -4.800
Symmetry: I4mm (107)

***

Mg2NiPt9 | PBE | relaxed

a = 3.931 Å, b = 3.931 Å, c = 11.853 Å
α = 90.00°, β = 90.00°, γ = 90.00°
Site moments in Bohr magnetons follow the coordinates.
Sites, in units of the cell vectors:
Pt  0.500  0.000  0.500  0.01
Pt  0.500  0.500  0.000  0.08
Mg  0.000  0.000  0.669  0.00
Mg  0.000  0.000  0.331  0.00
Pt  0.500  0.000  0.162  0.05
Pt  0.500  0.000  0.838  0.05
Pt  0.000  0.500  0.162  0.05
Pt  0.000  0.500  0.838  0.05
Pt  0.500  0.500  0.331  0.01
Pt  0.000  0.500  0.500  0.01
Ni  0.000  0.000  0.000  0.43
Pt  0.500  0.500  0.669  0.01

Computed properties:
Energy relative to the elements in eV/atom: -0.42
DFT total energy in eV/atom: -5.702
Symmetry: P4/mmm (123)

***

Mg2NiPt2 | PBE | relaxed

a = 7.452 Å, b = 7.452 Å, c = 2.896 Å
α = 90.00°, β = 90.00°, γ = 90.00°
Site moments in Bohr magnetons follow the coordinates.
Sites, in units of the cell vectors:
Ni  0.000  0.000  0.000  0.48
Mg  0.860  0.640  0.000  0.00
Ni  0.500  0.500  0.000  0.48
Mg  0.140  0.360  0.000  0.00
Mg  0.640  0.140  0.000  0.00
Pt  0.841  0.341  0.500  0.01
Pt  0.659  0.841  0.500  0.02
Pt  0.159  0.659  0.500  0.01
Pt  0.341  0.159  0.500  0.02
Mg  0.360  0.860  0.000  0.00

Computed properties:
Energy relative to the elements in eV/atom: -0.31
DFT total energy in eV/atom: -4.522
Symmetry: P4/mbm (127)

***

MgNi2Pt | PBE | relaxed

a = 4.587 Å, b = 4.587 Å, c = 4.587 Å
α = 130.96°, β = 130.96°, γ = 71.88°
Site moments in Bohr magnetons follow the coordinates.
Sites, in units of the cell vectors:
Mg  0.750  0.250  0.500  -0.01
Pt  0.500  0.500  0.000  0.15
Ni  0.000  0.000  0.000  0.44
Ni  0.250  0.750  0.500  0.60

Computed properties:
Energy relative to the elements in eV/atom: -0.28
DFT total energy in eV/atom: -5.084
Symmetry: I-4m2 (119)

***

MgNiPt | PBE | relaxed

a = 4.285 Å, b = 4.285 Å, c = 2.841 Å
α = 90.00°, β = 90.00°, γ = 120.00°
Site moments in Bohr magnetons follow the coordinates.
Sites, in units of the cell vectors:
Pt  0.333  0.667  0.501  0.12
Mg  0.000  0.000  0.001  0.00
Ni  0.667  0.333  0.498  0.51

Computed properties:
Energy relative to the elements in eV/atom: -0.36
DFT total energy in eV/atom: -4.832
Symmetry: P3m1 (156)

***

PuMgNiPt | PBE | relaxed

a = 4.704 Å, b = 4.704 Å, c = 4.704 Å
α = 60.00°, β = 60.00°, γ = 60.00°
Site moments in Bohr magnetons follow the coordinates.
Sites, in units of the cell vectors:
Mg  0.500  0.500  0.500  0.00
Ni  0.750  0.750  0.750  -0.24
Pt  0.250  0.250  0.250  -0.10
Pu  0.000  0.000  0.000  4.95

Computed properties:
Energy relative to the elements in eV/atom: -0.40
DFT total energy in eV/atom: -7.336
Symmetry: F-43m (216)

***

MgNiPtRh | PBE | relaxed

a = 4.321 Å, b = 4.321 Å, c = 4.321 Å
α = 60.00°, β = 60.00°, γ = 60.00°
Site moments in Bohr magnetons follow the coordinates.
Sites, in units of the cell vectors:
Mg  0.000  0.000  0.000  0.00
Rh  0.250  0.250  0.250  0.63
Ni  0.500  0.500  0.500  0.87
Pt  0.750  0.750  0.750  0.22

Computed properties:
Energy relative to the elements in eV/atom: -0.28
DFT total energy in eV/atom: -5.471
Symmetry: F-43m (216)

***

MgScNiPt | PBE | relaxed

a = 4.500 Å, b = 4.500 Å, c = 4.500 Å
α = 60.00°, β = 60.00°, γ = 60.00°
Sites, in units of the cell vectors:
Sc  0.750  0.750  0.750
Mg  0.250  0.250  0.250
Ni  0.000  0.000  0.000
Pt  0.500  0.500  0.500

Computed properties:
Energy relative to the elements in eV/atom: -0.75
DFT total energy in eV/atom: -5.684
Symmetry: F-43m (216)

***

Sm2MgNi3Pt12 | PBE | relaxed

a = 7.684 Å, b = 7.684 Å, c = 7.684 Å
α = 64.69°, β = 64.69°, γ = 64.69°
Site moments in Bohr magnetons follow the coordinates.
Sites, in units of the cell vectors:
Pt  0.140  0.140  0.618  0.11
Pt  0.860  0.382  0.860  0.11
Pt  0.618  0.140  0.140  0.11
Pt  0.366  0.366  0.888  0.16
Pt  0.860  0.860  0.382  0.11
Pt  0.366  0.888  0.366  0.16
Pt  0.382  0.860  0.860  0.11
Pt  0.888  0.366  0.366  0.16
Ni  0.500  0.000  0.000  0.72
Pt  0.140  0.618  0.140  0.11
Pt  0.112  0.634  0.634  0.16
Pt  0.634  0.634  0.112  0.16
Sm  0.609  0.609  0.609  0.01
Sm  0.391  0.391  0.391  0.01
Ni  0.000  0.500  0.000  0.72
Ni  0.000  0.000  0.500  0.72
Pt  0.634  0.112  0.634  0.16
Mg  0.000  0.000  0.000  0.00

Computed properties:
Energy relative to the elements in eV/atom: -0.07
DFT total energy in eV/atom: -5.674
Symmetry: R-3m (166)

***

TbMgNiPt | PBE | relaxed

a = 4.692 Å, b = 4.692 Å, c = 4.692 Å
α = 60.00°, β = 60.00°, γ = 60.00°
Sites, in units of the cell vectors:
Tb  0.250  0.250  0.250
Ni  0.500  0.500  0.500
Mg  0.750  0.750  0.750
Pt  0.000  0.000  0.000

Computed properties:
Energy relative to the elements in eV/atom: -0.66
DFT total energy in eV/atom: -5.171
Symmetry: F-43m (216)

***

Mg2NiTePt | PBE | relaxed

a = 5.269 Å, b = 4.507 Å, c = 5.269 Å
α = 90.00°, β = 90.00°, γ = 90.00°
Sites, in units of the cell vectors:
Mg  0.000  0.000  0.500
Ni  0.000  0.500  0.000
Te  0.000  0.000  0.000
Pt  0.500  0.500  0.500
Mg  0.500  0.000  0.000

Computed properties:
ΔE_f (raw) in eV/atom: 0.52
DFT total energy in eV/atom: -3.107
Symmetry: P4/mmm (123)